# 1
A plane-wave DFT calculation with PBE-GGA was carried out for an optimized crystal structure of Co2Ru2Rh.

Cell lengths 7.0678, 7.0678, 2.6631 Å; angles 90.00, 90.00, 90.00 degrees
Closest atoms and distances in Å follow each position.
Sites, in units of the cell vectors:
Co 0.1694 0.3306 0.0000  6 Ru 2.44-2.50, 2 Co 2.66
Co 0.3306 0.8306 0.0000  6 Ru 2.44-2.50, 2 Co 2.66
Co 0.6694 0.1694 0.0000  6 Ru 2.44-2.50, 2 Co 2.66
Co 0.8306 0.6694 0.0000  6 Ru 2.44-2.50, 2 Co 2.66
Ru 0.1266 0.6266 0.5000  6 Co 2.44-2.50, 3 Ru 2.53-2.66
Ru 0.3734 0.1266 0.5000  6 Co 2.44-2.50, 3 Ru 2.53-2.66
Ru 0.6266 0.8734 0.5000  6 Co 2.44-2.50, 3 Ru 2.53-2.66
Ru 0.8734 0.3734 0.5000  6 Co 2.44-2.50, 3 Ru 2.53-2.66
Rh 0.0000 0.0000 0.5000  2 Rh 2.66, 4 Ru 2.79, 8 Co 2.94
Rh 0.5000 0.5000 0.5000  2 Rh 2.66, 4 Ru 2.79, 8 Co 2.94

- Density of states at the Fermi level: 1.544 states/eV per atom
- Calculated total energy: -7.664 eV per atom
- Energy above the lowest structure with this stoichiometry: 108 meV per atom
- M_tot: 2.9 μB/f.u.
- E_form: 0.359 eV per atom


# 2
A plane-wave DFT calculation with PBE-GGA was carried out for an optimized crystal structure of AlTcCl.

Cell lengths 3.0328, 5.0369, 14.9915 Å; angles 90.00, 90.00, 90.00 degrees
Closest atoms and distances in Å follow each position.
Sites, in units of the cell vectors:
Al 0.0000 0.0000 0.0000  2 Cl 2.35, 2 Tc 2.47
Al 0.0000 0.5000 0.5000  2 Cl 2.35, 2 Tc 2.47
Al 0.5000 0.0000 0.5000  2 Cl 2.35, 2 Tc 2.47
Al 0.5000 0.5000 0.0000  2 Cl 2.35, 2 Tc 2.47
Tc 0.0000 0.0000 0.6302  2 Al 2.47
Tc 0.0000 0.5000 0.1302  2 Al 2.47
Tc 0.5000 0.0000 0.1302  2 Al 2.47
Tc 0.5000 0.5000 0.6302  2 Al 2.47
Cl 0.0000 0.0000 0.3805  2 Al 2.35
Cl 0.0000 0.5000 0.8805  2 Al 2.35
Cl 0.5000 0.0000 0.8805  2 Al 2.35
Cl 0.5000 0.5000 0.3805  2 Al 2.35

- Formation energy from raw total energies: 0.490 eV/f.u.
- Density of states at the Fermi level: 0.945 states/eV per atom
- Calculated total energy: -5.155 eV per atom
- Energy above the lowest structure with this stoichiometry: 185 meV per atom
- M_tot: 0.0 μB/f.u.


# 3
A plane-wave DFT calculation with PBE-GGA was carried out for an optimized crystal structure of TbMgAlCd.

Cell lengths 7.1170, 7.1170, 7.1170 Å; angles 90.00, 90.00, 90.00 degrees
Closest atoms and distances in Å follow each position.
Sites, in units of the cell vectors:
Tb 0.0000 0.0000 0.0000  4 Cd 3.08, 4 Al 3.08
Tb 0.0000 0.5000 0.5000  4 Cd 3.08, 4 Al 3.08
Tb 0.5000 0.0000 0.5000  4 Cd 3.08, 4 Al 3.08
Tb 0.5000 0.5000 0.0000  4 Al 3.08, 4 Cd 3.08
Mg 0.0000 0.0000 0.5000  4 Cd 3.08, 4 Al 3.08
Mg 0.0000 0.5000 0.0000  4 Cd 3.08, 4 Al 3.08
Mg 0.5000 0.0000 0.0000  4 Cd 3.08, 4 Al 3.08
Mg 0.5000 0.5000 0.5000  4 Cd 3.08, 4 Al 3.08
Al 0.2500 0.2500 0.7500  4 Tb 3.08, 4 Mg 3.08
Al 0.2500 0.7500 0.2500  4 Tb 3.08, 4 Mg 3.08
Al 0.7500 0.2500 0.2500  4 Tb 3.08, 4 Mg 3.08
Al 0.7500 0.7500 0.7500  4 Tb 3.08, 4 Mg 3.08
Cd 0.2500 0.2500 0.2500  4 Tb 3.08, 4 Mg 3.08
Cd 0.2500 0.7500 0.7500  4 Tb 3.08, 4 Mg 3.08
Cd 0.7500 0.2500 0.7500  4 Tb 3.08, 4 Mg 3.08
Cd 0.7500 0.7500 0.2500  4 Tb 3.08, 4 Mg 3.08

- Density of states at the Fermi level: 0.249 states/eV per atom
- Calculated total energy: -2.983 eV per atom
- M_tot: 0.0 μB/f.u.
- E_form: -0.262 eV per atom


Look up the calculated total energy of the third one. -2.983 eV per atom


Please write out number 1 again, unchanged.
A plane-wave DFT calculation with PBE-GGA was carried out for an optimized crystal structure of Co2Ru2Rh.

Cell lengths 7.0678, 7.0678, 2.6631 Å; angles 90.00, 90.00, 90.00 degrees
Closest atoms and distances in Å follow each position.
Sites, in units of the cell vectors:
Co 0.1694 0.3306 0.0000  6 Ru 2.44-2.50, 2 Co 2.66
Co 0.3306 0.8306 0.0000  6 Ru 2.44-2.50, 2 Co 2.66
Co 0.6694 0.1694 0.0000  6 Ru 2.44-2.50, 2 Co 2.66
Co 0.8306 0.6694 0.0000  6 Ru 2.44-2.50, 2 Co 2.66
Ru 0.1266 0.6266 0.5000  6 Co 2.44-2.50, 3 Ru 2.53-2.66
Ru 0.3734 0.1266 0.5000  6 Co 2.44-2.50, 3 Ru 2.53-2.66
Ru 0.6266 0.8734 0.5000  6 Co 2.44-2.50, 3 Ru 2.53-2.66
Ru 0.8734 0.3734 0.5000  6 Co 2.44-2.50, 3 Ru 2.53-2.66
Rh 0.0000 0.0000 0.5000  2 Rh 2.66, 4 Ru 2.79, 8 Co 2.94
Rh 0.5000 0.5000 0.5000  2 Rh 2.66, 4 Ru 2.79, 8 Co 2.94

- Density of states at the Fermi level: 1.544 states/eV per atom
- Calculated total energy: -7.664 eV per atom
- Energy above the lowest structure with this stoichiometry: 108 meV per atom
- M_tot: 2.9 μB/f.u.
- E_form: 0.359 eV per atom


Please write out number 3 again, unchanged.
A plane-wave DFT calculation with PBE-GGA was carried out for an optimized crystal structure of TbMgAlCd.

Cell lengths 7.1170, 7.1170, 7.1170 Å; angles 90.00, 90.00, 90.00 degrees
Closest atoms and distances in Å follow each position.
Sites, in units of the cell vectors:
Tb 0.0000 0.0000 0.0000  4 Cd 3.08, 4 Al 3.08
Tb 0.0000 0.5000 0.5000  4 Cd 3.08, 4 Al 3.08
Tb 0.5000 0.0000 0.5000  4 Cd 3.08, 4 Al 3.08
Tb 0.5000 0.5000 0.0000  4 Al 3.08, 4 Cd 3.08
Mg 0.0000 0.0000 0.5000  4 Cd 3.08, 4 Al 3.08
Mg 0.0000 0.5000 0.0000  4 Cd 3.08, 4 Al 3.08
Mg 0.5000 0.0000 0.0000  4 Cd 3.08, 4 Al 3.08
Mg 0.5000 0.5000 0.5000  4 Cd 3.08, 4 Al 3.08
Al 0.2500 0.2500 0.7500  4 Tb 3.08, 4 Mg 3.08
Al 0.2500 0.7500 0.2500  4 Tb 3.08, 4 Mg 3.08
Al 0.7500 0.2500 0.2500  4 Tb 3.08, 4 Mg 3.08
Al 0.7500 0.7500 0.7500  4 Tb 3.08, 4 Mg 3.08
Cd 0.2500 0.2500 0.2500  4 Tb 3.08, 4 Mg 3.08
Cd 0.2500 0.7500 0.7500  4 Tb 3.08, 4 Mg 3.08
Cd 0.7500 0.2500 0.7500  4 Tb 3.08, 4 Mg 3.08
Cd 0.7500 0.7500 0.2500  4 Tb 3.08, 4 Mg 3.08

- Density of states at the Fermi level: 0.249 states/eV per atom
- Calculated total energy: -2.983 eV per atom
- M_tot: 0.0 μB/f.u.
- E_form: -0.262 eV per atom